(1)
Density functional theory data (PBE) for crystalline LiTb2Be at its relaxed geometry.

Cell lengths 3.4922, 3.4922, 7.5152 Å; angles 90.00, 90.00, 90.00 degrees
Positions (direct):
1 Li 0.0000 0.0000 0.0000
2 Tb 0.5000 0.5000 0.2881
3 Tb 0.5000 0.5000 0.7119
4 Be 0.0000 0.0000 0.5000

**Formation energy**: 0.0943 eV per atom
**SG**: P4/mmm
**Relative energy among the computed polymorphs**: 0.0000 eV per atom

(2)
Density functional theory data (PBE) for crystalline NiAu3S at its relaxed geometry.

Cell lengths 4.7438, 4.7438, 4.7438 Å; angles 90.00, 90.00, 90.00 degrees
Positions (direct):
1 Ni 0.0000 0.0000 0.0000
2 Au 0.0000 0.0000 0.5000
3 Au 0.0000 0.5000 0.0000
4 Au 0.5000 0.0000 0.0000
5 S 0.5000 0.5000 0.5000

**SG**: Pm-3m
**Relative energy among the computed polymorphs**: 0.1073 eV per atom

(3)
Density functional theory data (PBE) for crystalline Er2GePt at its relaxed geometry.

Cell lengths 5.7627, 4.2810, 7.7434 Å; angles 90.00, 110.47, 90.00 degrees
Positions (direct):
1 Er 0.2137 0.2500 0.4408
2 Er 0.2261 0.2500 0.9146
3 Er 0.7739 0.7500 0.0854
4 Er 0.7863 0.7500 0.5592
5 Ge 0.3223 0.7500 0.2057
6 Ge 0.6777 0.2500 0.7943
7 Pt 0.3446 0.7500 0.7097
8 Pt 0.6554 0.2500 0.2903

**Formation energy**: -1.1055 eV per atom
**SG**: P2_1/m

(4)
Density functional theory data (PBE) for crystalline PrAlGa2 at its relaxed geometry.

Cell lengths 4.4323, 4.4323, 4.3326 Å; angles 90.00, 90.00, 90.00 degrees
Positions (direct):
1 Pr 0.0000 0.0000 0.0000
2 Al 0.5000 0.5000 0.0000
3 Ga 0.0000 0.5000 0.5000
4 Ga 0.5000 0.0000 0.5000

**Formation energy**: -0.4479 eV per atom
**SG**: P4/mmm

(5)
Density functional theory data (PBE) for crystalline Fe2BiS at its relaxed geometry.

Cell lengths 4.5214, 4.5214, 4.5214 Å; angles 60.00, 60.00, 60.00 degrees
Positions (direct):
1 Fe 0.2500 0.2500 0.2500
2 Fe 0.7500 0.7500 0.7500
3 Bi 0.0000 0.0000 0.0000
4 S 0.5000 0.5000 0.5000

**SG**: Fm-3m
**Relative energy among the computed polymorphs**: 0.3688 eV per atom

(6)
Density functional theory data (PBE) for crystalline In2Ga2Ir at its relaxed geometry.

Cell lengths 6.5696, 6.5696, 4.6920 Å; angles 90.00, 90.00, 90.00 degrees
Positions (direct):
1 In 0.1770 0.3230 0.0000
2 In 0.3230 0.8230 0.0000
3 In 0.6770 0.1770 0.0000
4 In 0.8230 0.6770 0.0000
5 Ga 0.1428 0.6428 0.5000
6 Ga 0.3572 0.1428 0.5000
7 Ga 0.6428 0.8572 0.5000
8 Ga 0.8572 0.3572 0.5000
9 Ir 0.0000 0.0000 0.5000
10 Ir 0.5000 0.5000 0.5000

**Formation energy**: 0.0731 eV per atom
**SG**: P4/mbm

(7)
Density functional theory data (PBE) for crystalline Hg2PCl at its relaxed geometry.

Cell lengths 4.9809, 4.9809, 4.9809 Å; angles 60.00, 60.00, 60.00 degrees
Positions (direct):
1 Hg 0.0000 0.0000 0.0000
2 Hg 0.2500 0.2500 0.2500
3 P 0.7500 0.7500 0.7500
4 Cl 0.5000 0.5000 0.5000

**SG**: F-43m
**Relative energy among the computed polymorphs**: 0.7551 eV per atom

(8)
Density functional theory data (PBE) for crystalline TlPbNO2 at its relaxed geometry.

Cell lengths 4.4528, 4.4528, 4.3793 Å; angles 90.00, 90.00, 90.00 degrees
Positions (direct):
1 Tl 0.0000 0.0000 0.0000
2 Pb 0.5000 0.5000 0.5000
3 N 0.0000 0.0000 0.5000
4 O 0.0000 0.5000 0.0000
5 O 0.5000 0.0000 0.0000

**SG**: P4/mmm
**E**: -4.40 eV per atom

(9)
Density functional theory data (PBE) for crystalline Rb2TiTe at its relaxed geometry.

Cell lengths 13.3070, 13.3070, 13.3070 Å; angles 159.02, 159.02, 29.84 degrees
Positions (direct):
1 Rb 0.1133 0.6250 0.9883
2 Rb 0.3750 0.3633 0.4883
3 Rb 0.6367 0.1250 0.0117
4 Rb 0.8750 0.8867 0.5117
5 Ti 0.2500 0.7500 0.5000
6 Ti 0.5000 0.5000 0.0000
7 Te 0.0000 0.0000 0.0000
8 Te 0.7500 0.2500 0.5000

**SG**: I-42d
**E**: -2.80 eV per atom

(10)
Density functional theory data (PBE) for crystalline DyTmMo4 at its relaxed geometry.

Cell lengths 5.5040, 5.5040, 5.5040 Å; angles 60.00, 60.00, 60.00 degrees
Positions (direct):
1 Dy 0.0000 0.0000 0.0000
2 Tm 0.7500 0.7500 0.7500
3 Mo 0.3750 0.3750 0.3750
4 Mo 0.3750 0.3750 0.8751
5 Mo 0.3750 0.8751 0.3750
6 Mo 0.8751 0.3750 0.3750

**Formation energy**: 0.0688 eV per atom
**SG**: F-43m

(11)
Density functional theory data (PBE) for crystalline MnCu at its relaxed geometry.

Cell lengths 5.0413, 5.0413, 6.0850 Å; angles 105.54, 105.54, 29.97 degrees
Positions (direct):
1 Mn 0.0000 0.0000 0.0000
2 Mn 0.0449 0.0449 0.5745
3 Mn 0.3856 0.3856 0.2516
4 Cu 0.3330 0.3330 0.6578
5 Cu 0.6741 0.6741 0.3232
6 Cu 0.7154 0.7154 0.9206

**Formation energy**: 0.2499 eV per atom
**SG**: Cm

(12)
Density functional theory data (PBE) for crystalline Si2SeI at its relaxed geometry.

Cell lengths 5.0179, 5.0179, 5.0179 Å; angles 60.00, 60.00, 60.00 degrees
Positions (direct):
1 Si 0.2500 0.2500 0.2500
2 Si 0.7500 0.7500 0.7500
3 Se 0.0000 0.0000 0.0000
4 I 0.5000 0.5000 0.5000

**SG**: Fm-3m
**Relative energy among the computed polymorphs**: 0.0275 eV per atom